Compound: Ta3Se
Source: Alexandria via LeMat-Bulk
Functional: GGA-PBEsol
Structure: optimized geometry

abc: 4.6680 4.6680 3.2405
angles: 90.00 90.00 104.10
Atoms (fractional coordinates):
Ta 0.0000 0.0000 0.0000
Ta 0.0000 0.5000 0.5000
Ta 0.5000 0.0000 0.5000
Se 0.5000 0.5000 0.0000

Computed properties:
total moment: 0.0 μB/f.u.
excess energy over the best structure of this formula in the dataset: 17 meV per atom